Record 1
! Pm6Te3As2Cl | Alexandria via LeMat-Bulk | PBE | optimized geometry; values from VASP
&SYSTEM
  ibrav = 0, nat = 12, ntyp = 4
/
ATOMIC_SPECIES
Pm 145.00 Pm.upf
Te 127.60 Te.upf
As 74.92 As.upf
Cl 35.45 Cl.upf
CELL_PARAMETERS angstrom
4.297 0.000 0.000
0.000 8.739 0.219
-2.149 -2.613 9.136
ATOMIC_POSITIONS crystal
Pm 0.334 0.893 0.668
Pm 0.674 0.566 0.349
Pm 0.666 0.107 0.332
Pm 0.010 0.241 0.020
Pm 0.990 0.759 0.980
Pm 0.326 0.434 0.651
Te 0.500 0.500 0.000
Te 0.836 0.167 0.672
Te 0.164 0.833 0.328
As 0.833 0.667 0.666
As 0.167 0.333 0.334
Cl 0.500 0.000 0.000
! Space-group type ... C2/m


Record 2
! Pm4Te2AsCl | Alexandria via LeMat-Bulk | PBE | optimized geometry; values from VASP
&SYSTEM
  ibrav = 0, nat = 8, ntyp = 4
/
ATOMIC_SPECIES
Pm 145.00 Pm.upf
Te 127.60 Te.upf
As 74.92 As.upf
Cl 35.45 Cl.upf
CELL_PARAMETERS angstrom
4.289 0.000 0.000
0.000 7.579 -0.209
0.000 2.611 6.944
ATOMIC_POSITIONS crystal
Pm 0.000 0.721 0.749
Pm 0.000 0.279 0.251
Pm 0.500 0.718 0.269
Pm 0.500 0.282 0.731
Te 0.000 0.000 0.000
Te 0.500 0.000 0.500
As 0.000 0.500 0.500
Cl 0.500 0.500 0.000
! Space-group type ... P2/m


Record 3
! Pr4As3Cl | Alexandria via LeMat-Bulk | PBE | optimized geometry; values from VASP
&SYSTEM
  ibrav = 0, nat = 8, ntyp = 3
/
ATOMIC_SPECIES
Pr 140.91 Pr.upf
As 74.92 As.upf
Cl 35.45 Cl.upf
CELL_PARAMETERS angstrom
4.279 -0.053 0.072
0.054 7.124 2.069
-0.120 0.403 7.407
ATOMIC_POSITIONS crystal
Pr 0.000 0.765 0.735
Pr 0.500 0.756 0.256
Pr 0.000 0.235 0.265
Pr 0.500 0.244 0.744
As 0.500 0.000 0.500
As 0.000 0.000 0.000
As 0.000 0.500 0.500
Cl 0.500 0.500 0.000
! Space-group type ... Cmmm


So what do the calculations give for total DFT energy (no corrections)? Going down the list: -5.569, -5.422, -5.925 eV/atom.
So what do the calculations give for formation energy from raw total energies? Going down the list: -1.4794, -1.4492, -1.5609 eV/atom.